P:
Crystalline CrSi4O10 at its relaxed geometry. Source: Alexandria, functional PBEsol.

Geometry as CIF:
```
data_CrSi4O10
_chemical_formula_sum 'Cr4 Si16 O40'
_symmetry_space_group_name_H-M 'P 4/n c c'
_symmetry_Int_Tables_number 130
_cell_length_a 7.527
_cell_length_b 7.527
_cell_length_c 14.633
_cell_angle_alpha 90.00
_cell_angle_beta 90.00
_cell_angle_gamma 90.00
loop_
_symmetry_equiv_pos_as_xyz
'x,y,z'
'-x,-y,-z'
'-y+1/2,x,z'
'y+1/2,-x,-z'
'-x+1/2,-y+1/2,z'
'x+1/2,y+1/2,-z'
'y,-x+1/2,z'
'-y,x+1/2,-z'
'x+1/2,-y,-z+1/2'
'-x+1/2,y,z+1/2'
'-y,-x,-z+1/2'
'y,x,z+1/2'
'-x,y+1/2,-z+1/2'
'x,-y+1/2,z+1/2'
'y+1/2,x+1/2,-z+1/2'
'-y+1/2,-x+1/2,z+1/2'
loop_
_atom_site_label
_atom_site_type_symbol
_atom_site_fract_x
_atom_site_fract_y
_atom_site_fract_z
_atom_site_occupancy
Cr1 Cr 0.250 0.250 0.072 1
Si1 Si 0.038 0.046 0.356 1
O1 O 0.002 0.245 0.878 1
O2 O 0.005 0.505 0.250 1
O3 O 0.076 0.089 0.081 1
```

***

Q:
Crystalline CrSi4O10 at its relaxed geometry. Source: Alexandria, functional PBEsol.

Geometry as CIF:
```
data_CrSi4O10
_chemical_formula_sum 'Cr2 Si8 O20'
_symmetry_space_group_name_H-M 'P -1'
_symmetry_Int_Tables_number 2
_cell_length_a 7.144
_cell_length_b 8.094
_cell_length_c 9.510
_cell_angle_alpha 108.71
_cell_angle_beta 102.61
_cell_angle_gamma 108.52
loop_
_symmetry_equiv_pos_as_xyz
'x,y,z'
'-x,-y,-z'
loop_
_atom_site_label
_atom_site_type_symbol
_atom_site_fract_x
_atom_site_fract_y
_atom_site_fract_z
_atom_site_occupancy
Cr1 Cr 0.216 0.177 0.086 1
Si1 Si 0.097 0.899 0.263 1
Si2 Si 0.267 0.600 0.252 1
Si3 Si 0.333 0.118 0.773 1
Si4 Si 0.474 0.798 0.612 1
O1 O 0.066 0.966 0.114 1
O2 O 0.099 0.689 0.205 1
O3 O 0.105 0.108 0.684 1
O4 O 0.147 0.372 0.130 1
O5 O 0.320 0.054 0.404 1
O6 O 0.320 0.633 0.436 1
O7 O 0.345 0.917 0.684 1
O8 O 0.360 0.155 0.958 1
O9 O 0.440 0.289 0.271 1
O10 O 0.481 0.701 0.222 1
```

***

Stability, lowest: P

***

P:
Crystalline CrOs4 at its relaxed geometry. Source: Alexandria, functional PBEsol.

Geometry as CIF:
```
data_CrOs4
_chemical_formula_sum 'Cr2 Os8'
_symmetry_space_group_name_H-M 'I 4/m'
_symmetry_Int_Tables_number 87
_symmetry_space_group_name_Hall '-I 4'
_cell_length_a 5.989
_cell_length_b 5.989
_cell_length_c 3.774
_cell_angle_alpha 90.00
_cell_angle_beta 90.00
_cell_angle_gamma 90.00
loop_
_atom_site_label
_atom_site_type_symbol
_atom_site_fract_x
_atom_site_fract_y
_atom_site_fract_z
_atom_site_occupancy
Cr1 Cr 0.000 0.000 0.000 1
Os1 Os 0.100 0.702 0.500 1
```

***

Q:
Crystalline CrOs4 at its relaxed geometry. Source: Alexandria, functional PBEsol.

Geometry as CIF:
```
data_CrOs4
_chemical_formula_sum 'Cr2 Os8'
_symmetry_space_group_name_H-M 'I m -3 m'
_symmetry_Int_Tables_number 229
_symmetry_space_group_name_Hall '-I 4 2 3'
_cell_length_a 5.441
_cell_length_b 5.441
_cell_length_c 5.441
_cell_angle_alpha 90.00
_cell_angle_beta 90.00
_cell_angle_gamma 90.00
loop_
_atom_site_label
_atom_site_type_symbol
_atom_site_fract_x
_atom_site_fract_y
_atom_site_fract_z
_atom_site_occupancy
Cr1 Cr 0.000 0.000 0.000 1
Os1 Os 0.250 0.250 0.250 1
```

***

Stability, lowest: Q

***

P:
Crystalline CrP2Os at its relaxed geometry. Source: Alexandria, functional PBEsol.

Geometry as CIF:
```
data_CrP2Os
_chemical_formula_sum 'Cr3 P6 Os3'
_symmetry_space_group_name_H-M 'R 3 m'
_symmetry_Int_Tables_number 160
_symmetry_space_group_name_Hall 'R 3 -2"'
_cell_length_a 2.8703
_cell_length_b 2.8703
_cell_length_c 21.5202
_cell_angle_alpha 90.00
_cell_angle_beta 90.00
_cell_angle_gamma 120.00
loop_
_atom_site_label
_atom_site_type_symbol
_atom_site_fract_x
_atom_site_fract_y
_atom_site_fract_z
_atom_site_occupancy
Cr1 Cr 0.0000 0.0000 0.0000 1
P1 P 0.0000 0.0000 0.4904 1
P2 P 0.0000 0.0000 0.7382 1
Os1 Os 0.0000 0.0000 0.2350 1
```

***

Q:
Crystalline CrP2Os at its relaxed geometry. Source: Alexandria, functional PBEsol.

Geometry as CIF:
```
data_CrP2Os
_chemical_formula_sum 'Cr2 P4 Os2'
_symmetry_space_group_name_H-M 'C m m m'
_symmetry_Int_Tables_number 65
_symmetry_space_group_name_Hall '-C 2 2'
_cell_length_a 2.830
_cell_length_b 4.895
_cell_length_c 7.409
_cell_angle_alpha 90.00
_cell_angle_beta 90.00
_cell_angle_gamma 90.00
loop_
_atom_site_label
_atom_site_type_symbol
_atom_site_fract_x
_atom_site_fract_y
_atom_site_fract_z
_atom_site_occupancy
Cr1 Cr 0.000 0.000 0.000 1
P1 P 0.000 0.500 0.237 1
Os1 Os 0.000 0.000 0.500 1
```

***

R:
Crystalline CrP2Os at its relaxed geometry. Source: Alexandria, functional PBEsol.

Geometry as CIF:
```
data_CrP2Os
_chemical_formula_sum 'Cr1 P2 Os1'
_symmetry_space_group_name_H-M 'P m m 2'
_symmetry_Int_Tables_number 25
_cell_length_a 2.877
_cell_length_b 4.193
_cell_length_c 4.057
_cell_angle_alpha 90.00
_cell_angle_beta 90.00
_cell_angle_gamma 90.00
loop_
_symmetry_equiv_pos_as_xyz
'x,y,z'
'-x,-y,z'
'-x,y,z'
'x,-y,z'
loop_
_atom_site_label
_atom_site_type_symbol
_atom_site_fract_x
_atom_site_fract_y
_atom_site_fract_z
_atom_site_occupancy
Cr1 Cr 0.000 0.000 0.000 1
P1 P 0.000 0.500 0.248 1
P2 P 0.500 0.000 0.474 1
Os1 Os 0.500 0.500 0.748 1
```

***

Stability, lowest: Q

***

P:
Crystalline CrRe2Os at its relaxed geometry. Source: Alexandria, functional PBEsol.

Geometry as CIF:
```
data_CrRe2Os
_chemical_formula_sum 'Cr1 Re2 Os1'
_symmetry_space_group_name_H-M 'P 4 m m'
_symmetry_Int_Tables_number 99
_cell_length_a 2.708
_cell_length_b 2.708
_cell_length_c 7.477
_cell_angle_alpha 90.00
_cell_angle_beta 90.00
_cell_angle_gamma 90.00
loop_
_symmetry_equiv_pos_as_xyz
'x,y,z'
'-y,x,z'
'-x,-y,z'
'y,-x,z'
'-x,y,z'
'y,x,z'
'x,-y,z'
'-y,-x,z'
loop_
_atom_site_label
_atom_site_type_symbol
_atom_site_fract_x
_atom_site_fract_y
_atom_site_fract_z
_atom_site_occupancy
Cr1 Cr 0.000 0.000 0.000 1
Re1 Re 0.000 0.000 0.492 1
Re2 Re 0.500 0.500 0.759 1
Os1 Os 0.500 0.500 0.232 1
```

***

Q:
Crystalline CrRe2Os at its relaxed geometry. Source: Alexandria, functional PBEsol.

Geometry as CIF:
```
data_CrRe2Os
_chemical_formula_sum 'Cr1 Re2 Os1'
_symmetry_space_group_name_H-M 'P 4/m m m'
_symmetry_Int_Tables_number 123
_symmetry_space_group_name_Hall '-P 4 2'
_cell_length_a 2.696
_cell_length_b 2.696
_cell_length_c 7.552
_cell_angle_alpha 90.00
_cell_angle_beta 90.00
_cell_angle_gamma 90.00
loop_
_atom_site_label
_atom_site_type_symbol
_atom_site_fract_x
_atom_site_fract_y
_atom_site_fract_z
_atom_site_occupancy
Cr1 Cr 0.000 0.000 0.000 1
Re1 Re 0.500 0.500 0.241 1
Os1 Os 0.000 0.000 0.500 1
```

***

Stability, lowest: Q